VASP calculation (PBE with a Hubbard U) on crystalline Li3VH12O10 at its relaxed geometry.

POSCAR file:
```
Li3VH12O10
1.0
-5.2561 3.4754 0.5530
1.1118 -1.3234 6.0847
4.2688 4.5704 -0.9492
H O Li V
12 10 3 1
Cartesian
-2.6877 1.8510 3.2140
-2.4211 3.3442 1.0825
0.1236 0.6443 4.2175
0.1959 -0.2293 5.5457
0.3278 4.5681 -0.0630
0.9191 4.9839 2.1928
2.5061 1.4827 3.5356
0.9897 3.0128 4.5206
-1.6869 3.9873 3.4275
2.4338 3.3793 0.9348
3.7684 4.0603 0.3983
-3.8198 3.9768 0.6630
1.0483 3.7321 5.2307
-2.9350 3.6777 0.2763
-1.7619 4.7582 4.0796
0.0177 0.9574 0.8101
0.9781 5.8030 2.7849
-0.3447 -0.1131 4.6994
3.4044 3.1771 0.7292
-1.5864 2.7587 2.3556
0.8556 3.6641 1.2323
0.8836 1.8317 3.3971
2.1130 5.2212 4.3518
-0.8680 4.0759 5.7704
-0.9558 6.3334 3.1046
0.0424 2.2908 1.9385
```

Calculated values
Final energy = -139.33 eV per cell
D(E_F) = 0.00 states/eV/f.u.